(1)
Here is crystalline Co2Ni3W at its relaxed geometry from the Alexandria database. Energies are from PBE.

a b c (Å): 6.7437 6.7437 4.5348
angles (deg): 90.00 90.00 135.93
With the nearest neighbours (Å) after each atom.
Sites, in units of the cell vectors:
Co (0.2397, 0.2397, 0.0000)  3 Co 2.27-2.43, 2 Ni 2.46
Co (0.2397, 0.2397, 0.5000)  3 Co 2.27-2.43, 2 Ni 2.46
Co (0.7603, 0.7603, 0.0000)  3 Co 2.27-2.43, 2 Ni 2.46
Co (0.7603, 0.7603, 0.5000)  3 Co 2.27-2.43, 2 Ni 2.46
Ni (0.0775, 0.4273, 0.7500)  2 Co 2.46, 5 Ni 2.47-2.61, 3 W 2.52-2.61
Ni (0.1552, 0.8448, 0.7500)  6 Ni 2.47-2.61, 2 W 2.53, 4 Co 2.55
Ni (0.4273, 0.0775, 0.2500)  2 Co 2.46, 5 Ni 2.47-2.61, 3 W 2.52-2.61
Ni (0.5727, 0.9225, 0.7500)  2 Co 2.46, 5 Ni 2.47-2.61, 3 W 2.52-2.61
Ni (0.8448, 0.1552, 0.2500)  6 Ni 2.47-2.61, 2 W 2.53, 4 Co 2.55
Ni (0.9225, 0.5727, 0.2500)  2 Co 2.46, 5 Ni 2.47-2.61, 3 W 2.52-2.61
W (0.3489, 0.6511, 0.2500)  8 Ni 2.52-2.61, 4 Co 2.57
W (0.6511, 0.3489, 0.7500)  8 Ni 2.52-2.61, 4 Co 2.57

## Properties
energy of formation	2.88	kcal/mol of atoms
total DFT energy (no corrections)	-7.29	eV/atom

***

(2)
Here is crystalline Zr2Cu2Pb at its relaxed geometry from the Alexandria database. Energies are from PBE.

a b c (Å): 6.9194 6.9194 3.9611
angles (deg): 90.00 90.00 90.00
With the nearest neighbours (Å) after each atom.
Sites, in units of the cell vectors:
Zr (0.1652, 0.3348, 0.0000)  6 Cu 2.83-2.86
Zr (0.3348, 0.8348, 0.0000)  6 Cu 2.83-2.86
Zr (0.6652, 0.1652, 0.0000)  6 Cu 2.83-2.86
Zr (0.8348, 0.6652, 0.0000)  6 Cu 2.83-2.86
Cu (0.1235, 0.6235, 0.5000)  1 Cu 2.42
Cu (0.3765, 0.1235, 0.5000)  1 Cu 2.42
Cu (0.6235, 0.8765, 0.5000)  1 Cu 2.42
Cu (0.8765, 0.3765, 0.5000)  1 Cu 2.42
Pb (0.0000, 0.0000, 0.5000)  4 Cu 2.74
Pb (0.5000, 0.5000, 0.5000)  4 Cu 2.74

## Properties
energy of formation	-3.77	kcal/mol of atoms
total DFT energy (no corrections)	-5.96	eV/atom

***

(3)
Here is crystalline RbAg2Pb2 at its relaxed geometry from the Alexandria database. Energies are from PBE.

a b c (Å): 6.4054 7.2384 8.2438
angles (deg): 87.40 67.16 63.98
With the nearest neighbours (Å) after each atom.
Sites, in units of the cell vectors:
Rb (0.1352, 0.2497, 0.2507)  6 Ag 3.47-3.87
Rb (0.8648, 0.7503, 0.7493)  6 Ag 3.47-3.87
Ag (0.2332, 0.8079, 0.9402)  2 Ag 2.87-2.88, 4 Pb 2.99-3.01
Ag (0.4821, 0.6923, 0.5601)  2 Ag 2.87-2.88, 4 Pb 2.98-3.02
Ag (0.5179, 0.3077, 0.4399)  2 Ag 2.87-2.88, 4 Pb 2.98-3.02
Ag (0.7668, 0.1921, 0.0598)  2 Ag 2.87-2.88, 4 Pb 2.99-3.01
Pb (0.1988, 0.1455, 0.7124)  4 Ag 2.98-3.01
Pb (0.4465, 0.6446, 0.2105)  4 Ag 2.99-3.02
Pb (0.5535, 0.3554, 0.7895)  4 Ag 2.99-3.02
Pb (0.8012, 0.8545, 0.2876)  4 Ag 2.98-3.01

## Properties
energy of formation	0.09	kcal/mol of atoms
total DFT energy (no corrections)	-2.81	eV/atom

***

(4)
Here is crystalline PmNdTlSb at its relaxed geometry from the Alexandria database. Energies are from PBE.

a b c (Å): 7.7726 7.7726 7.7726
angles (deg): 90.00 90.00 90.00
With the nearest neighbours (Å) after each atom.
Sites, in units of the cell vectors:
Pm (0.0000, 0.0000, 0.0000)  4 Tl 3.37, 4 Sb 3.37
Pm (0.0000, 0.5000, 0.5000)  4 Tl 3.37, 4 Sb 3.37
Pm (0.5000, 0.0000, 0.5000)  4 Tl 3.37, 4 Sb 3.37
Pm (0.5000, 0.5000, 0.0000)  4 Tl 3.37, 4 Sb 3.37
Nd (0.0000, 0.0000, 0.5000)  4 Tl 3.37, 4 Sb 3.37
Nd (0.0000, 0.5000, 0.0000)  4 Tl 3.37, 4 Sb 3.37
Nd (0.5000, 0.0000, 0.0000)  4 Tl 3.37, 4 Sb 3.37
Nd (0.5000, 0.5000, 0.5000)  4 Sb 3.37, 4 Tl 3.37
Tl (0.2500, 0.2500, 0.2500)  4 Nd 3.37, 4 Pm 3.37
Tl (0.2500, 0.7500, 0.7500)  4 Nd 3.37, 4 Pm 3.37
Tl (0.7500, 0.2500, 0.7500)  4 Nd 3.37, 4 Pm 3.37
Tl (0.7500, 0.7500, 0.2500)  4 Nd 3.37, 4 Pm 3.37
Sb (0.2500, 0.2500, 0.7500)  4 Nd 3.37, 4 Pm 3.37
Sb (0.2500, 0.7500, 0.2500)  4 Nd 3.37, 4 Pm 3.37
Sb (0.7500, 0.2500, 0.2500)  4 Nd 3.37, 4 Pm 3.37
Sb (0.7500, 0.7500, 0.7500)  4 Nd 3.37, 4 Pm 3.37

## Properties
total DFT energy (no corrections)	-4.57	eV/atom
energy relative to the elements, uncorrected	-565	meV/atom